1.
Computed, not measured: an optimized crystal structure of LiErInRh at the PBE level of DFT.

Computed properties:
Calculated formation energy, eV per atom: -0.5616

```
LiErInRh
1.0
6.6979 0.0000 0.0000
0.0000 6.6979 0.0000
0.0000 0.0000 6.6979
Li Er In Rh
4 4 4 4
direct
0.0000 0.0000 0.0000 Li
0.0000 0.5000 0.5000 Li
0.5000 0.0000 0.5000 Li
0.5000 0.5000 0.0000 Li
0.2500 0.2500 0.7500 Er
0.2500 0.7500 0.2500 Er
0.7500 0.2500 0.2500 Er
0.7500 0.7500 0.7500 Er
0.2500 0.2500 0.2500 In
0.2500 0.7500 0.7500 In
0.7500 0.2500 0.7500 In
0.7500 0.7500 0.2500 In
0.0000 0.0000 0.5000 Rh
0.0000 0.5000 0.0000 Rh
0.5000 0.0000 0.0000 Rh
0.5000 0.5000 0.5000 Rh
```

***

2.
Computed, not measured: an optimized crystal structure of Li2Er3In3Ru at the PBE level of DFT.

Computed properties:
Calculated formation energy, eV per atom: -0.3836

```
Li2Er3In3Ru
1.0
8.3781 0.0000 0.0000
-4.1891 7.2557 0.0000
0.0000 0.0000 3.3588
Li Er In Ru
2 3 3 1
direct
0.3333 0.6667 0.0000 Li
0.6667 0.3333 0.0000 Li
0.0000 0.2644 0.0000 Er
0.2644 0.0000 0.0000 Er
0.7356 0.7356 0.0000 Er
0.0000 0.6191 0.5000 In
0.3809 0.3809 0.5000 In
0.6191 0.0000 0.5000 In
0.0000 0.0000 0.5000 Ru
```

***

3.
Computed, not measured: an optimized crystal structure of LiErIn4S8 at the PBE level of DFT.

Computed properties:
Formation energy without anion corrections, eV/atom: -0.91

```
LiErIn4S8
1.0
3.8773 2.2386 6.3393
-3.8773 2.2386 6.3393
0.0000 -4.4771 6.3393
Li Er In S
1 1 4 8
direct
0.0000 0.0000 0.0000 Li
0.6324 0.6324 0.6324 Er
0.1043 0.6302 0.6302 In
0.2473 0.2473 0.2473 In
0.6302 0.1043 0.6302 In
0.6302 0.6302 0.1043 In
0.3814 0.3814 0.8488 S
0.3814 0.8488 0.3814 S
0.3833 0.3833 0.3833 S
0.3858 0.8744 0.8744 S
0.8488 0.3814 0.3814 S
0.8675 0.8675 0.8675 S
0.8744 0.3858 0.8744 S
0.8744 0.8744 0.3858 S
```

***

4.
Computed, not measured: an optimized crystal structure of Li2ErInS4 at the PBE level of DFT.

Computed properties:
Formation energy without anion corrections, eV/atom: -1.35

```
Li2ErInS4
1.0
6.5888 0.0000 0.0000
0.0000 3.8287 0.0000
-2.2116 0.0000 6.2152
Li Er In S
2 1 1 4
direct
0.0000 0.0000 0.0000 Li
0.0000 0.5000 0.5000 Li
0.5000 0.0000 0.5000 Er
0.5000 0.5000 0.0000 In
0.2482 0.5000 0.2501 S
0.2545 0.0000 0.7606 S
0.7455 0.0000 0.2394 S
0.7518 0.5000 0.7499 S
```

***

5.
Computed, not measured: an optimized crystal structure of Li4Er3InS8 at the PBE level of DFT.

Computed properties:
Formation energy without anion corrections, eV/atom: -1.60

```
Li4Er3InS8
1.0
3.8481 2.2217 6.1859
-3.8481 2.2217 6.1859
0.0000 -4.4434 6.1859
Li Er In S
4 3 1 8
direct
0.0000 0.0000 0.0000 Li
0.0000 0.5000 0.5000 Li
0.5000 0.0000 0.5000 Li
0.5000 0.5000 0.0000 Li
0.0000 0.0000 0.5000 Er
0.0000 0.5000 0.0000 Er
0.5000 0.0000 0.0000 Er
0.5000 0.5000 0.5000 In
0.2494 0.2494 0.2494 S
0.2523 0.2523 0.7455 S
0.2523 0.7455 0.2523 S
0.2545 0.7477 0.7477 S
0.7455 0.2523 0.2523 S
0.7477 0.2545 0.7477 S
0.7477 0.7477 0.2545 S
0.7506 0.7506 0.7506 S
```

***

6.
Computed, not measured: an optimized crystal structure of LiErSc2In4 at the PBE level of DFT.

Computed properties:
Calculated formation energy, eV per atom: -0.3866

```
LiErSc2In4
1.0
2.5177 1.4536 8.3730
-2.5177 1.4536 8.3730
0.0000 -2.9072 8.3730
Li Er Sc In
1 1 2 4
direct
0.0000 0.0000 0.0000 Li
0.5000 0.5000 0.5000 Er
0.2519 0.2519 0.2519 Sc
0.7481 0.7481 0.7481 Sc
0.1206 0.1206 0.1206 In
0.3719 0.3719 0.3719 In
0.6281 0.6281 0.6281 In
0.8794 0.8794 0.8794 In
```

***

7.
Computed, not measured: an optimized crystal structure of Li2Er2ScIn5 at the PBE level of DFT.

Computed properties:
Calculated formation energy, eV per atom: -0.3424

```
Li2Er2ScIn5
1.0
10.1109 0.0000 0.0000
0.0000 10.1109 0.0000
0.0000 0.0000 4.3638
Li Er Sc In
4 4 2 10
direct
0.1194 0.3806 0.0000 Li
0.3806 0.8806 0.0000 Li
0.6194 0.1194 0.0000 Li
0.8806 0.6194 0.0000 Li
0.1757 0.6757 0.0000 Er
0.3243 0.1757 0.0000 Er
0.6757 0.8243 0.0000 Er
0.8243 0.3243 0.0000 Er
0.0000 0.0000 0.0000 Sc
0.5000 0.5000 0.0000 Sc
0.0000 0.5000 0.5000 In
0.0724 0.2061 0.5000 In
0.2061 0.9276 0.5000 In
0.2939 0.4276 0.5000 In
0.4276 0.7061 0.5000 In
0.5000 0.0000 0.5000 In
0.5724 0.2939 0.5000 In
0.7061 0.5724 0.5000 In
0.7939 0.0724 0.5000 In
0.9276 0.7939 0.5000 In
```

***

8.
Computed, not measured: an optimized crystal structure of Li2ErSc2In2 at the PBE level of DFT.

Computed properties:
Calculated formation energy, eV per atom: -0.2060

```
Li2ErSc2In2
1.0
2.3625 1.3640 8.4107
-2.3625 1.3640 8.4107
0.0000 -2.7280 8.4107
Li Er Sc In
2 1 2 2
direct
0.0886 0.0886 0.0886 Li
0.9114 0.9114 0.9114 Li
0.5000 0.5000 0.5000 Er
0.3688 0.3688 0.3688 Sc
0.6312 0.6312 0.6312 Sc
0.2429 0.2429 0.2429 In
0.7571 0.7571 0.7571 In
```

***

Number 1: total magnetic moment 0.0 Bohr magnetons per cell, electronic total energy -4.703 eV/atom, mass density 8.7 Mg/m³. Number 2: total magnetic moment 0.0 Bohr magnetons per cell, electronic total energy -4.273 eV/atom, mass density 7.8 Mg/m³. Number 3: total magnetic moment 0.0 Bohr magnetons per cell, electronic total energy -4.516 eV/atom, mass density 4.5 Mg/m³. Number 4: total magnetic moment 0.0 Bohr magnetons per cell, electronic total energy -4.803 eV/atom, mass density 4.5 Mg/m³. Number 5: total magnetic moment 0.0 Bohr magnetons per cell, electronic total energy -5.167 eV/atom, mass density 4.7 Mg/m³. Number 6: total magnetic moment 0.0 Bohr magnetons per cell, electronic total energy -4.148 eV/atom, mass density 6.5 Mg/m³. Number 7: total magnetic moment 0.0 Bohr magnetons per cell, electronic total energy -3.640 eV/atom, mass density 7.2 Mg/m³. Number 8: total magnetic moment 0.0 Bohr magnetons per cell, electronic total energy -3.996 eV/atom, mass density 5.1 Mg/m³.